No. 1
VASP calculation (PBE) on a relaxed structure of DyTm2Cu2.

abc: 3.4586 5.0221 12.9508
angles: 90.00 97.66 90.00
Last column: nearest neighbours and their distance in Å.
Space group P2_1/m (No. 11)
Asymmetric unit:
1 Dy 0.1426 0.2500 0.2828 (multiplicity 2)  6 Cu 3.03-3.05, 2 Tm 3.39
2 Tm 0.0471 0.7500 0.0933 (multiplicity 2)  8 Cu 2.91-3.05
3 Tm 0.2303 0.7500 0.4597 (multiplicity 2)  2 Cu 2.88, 4 Tm 3.22
4 Cu 0.3582 0.2500 0.7196 (multiplicity 2)  4 Tm 2.88-2.96, 4 Dy 3.05
5 Cu 0.4545 0.7500 0.9109 (multiplicity 2)  6 Tm 2.91-3.05, 2 Dy 3.03

Calculated values
offset from the most stable computed form: 0.000 eV per formula unit
formation enthalpy at 0 K: -0.190 eV per atom
final energy: -22.69 eV per formula unit

***

No. 2
VASP calculation (PBE) on a relaxed structure of DyTm2Cu4.

abc: 5.0481 5.0481 11.4223
angles: 90.00 90.00 90.00
Last column: nearest neighbours and their distance in Å.
Space group I4/mmm (No. 139)
Asymmetric unit:
1 Dy 0.0000 0.0000 0.0000 (multiplicity 2)  8 Cu 2.88
2 Tm 0.0000 0.0000 0.2842 (multiplicity 4)  4 Cu 2.74
3 Cu 0.0000 0.5000 0.1214 (multiplicity 8)  2 Tm 2.74, 2 Cu 2.77-2.94, 2 Dy 2.88

Calculated values
formation enthalpy at 0 K: -0.022 eV per atom
final energy: -30.09 eV per formula unit

***

No. 3
VASP calculation (PBE) on a relaxed structure of Dy2TmCu.

abc: 4.8788 11.4515 7.5414
angles: 90.00 90.00 90.00
Last column: nearest neighbours and their distance in Å.
Space group Cmcm (No. 63)
Asymmetric unit:
1 Dy 0.0000 0.1472 0.0321 (multiplicity 8)  3 Cu 2.75-3.00
2 Tm 0.0000 0.4559 0.2500 (multiplicity 4)  1 Cu 2.80
3 Cu 0.0000 0.2992 0.7500 (multiplicity 4)  6 Dy 2.75-3.00, 1 Tm 2.80

Calculated values
offset from the most stable computed form: 0.205 eV per formula unit
formation enthalpy at 0 K: -0.061 eV per atom
final energy: -18.01 eV per formula unit

***

No. 4
VASP calculation (PBE) on a relaxed structure of Dy3TmCu4.

abc: 3.4537 3.4537 13.8122
angles: 90.00 90.00 90.00
Last column: nearest neighbours and their distance in Å.
Space group P4/mmm (No. 123)
Asymmetric unit:
1 Dy 0.0000 0.0000 0.0000 (multiplicity 1)  8 Cu 2.99
2 Dy 0.0000 0.0000 0.2518 (multiplicity 2)  8 Cu 3.00-3.01
3 Tm 0.0000 0.0000 0.5000 (multiplicity 1)  8 Cu 2.95
4 Cu 0.5000 0.5000 0.1252 (multiplicity 2)  8 Dy 2.99-3.00
5 Cu 0.5000 0.5000 0.3798 (multiplicity 2)  4 Tm 2.95, 4 Dy 3.01

Calculated values
formation enthalpy at 0 K: -0.262 eV per atom
final energy: -36.76 eV per formula unit